(1)
# Ca2P2O7

A relaxed structure of Ca2P2O7 (PBEsol, Alexandria).

Results
Fermi-level density of states (states/eV per cell): 0.00
Space-group type: P4_1 (76)
M_tot (μB per formula unit): 0.00
Calculated volume (Å³ per cell): 1072
Formation energy from raw total energies (eV per atom): -2.798

Cell lengths 6.668, 6.668, 24.118 Å; angles 90.00, 90.00, 90.00 degrees
Fractional coordinates of all 88 atoms:
Ca  0.044  0.656  0.000
Ca  0.138  0.605  0.356
Ca  0.238  0.291  0.104
Ca  0.265  0.362  0.741
Ca  0.291  0.762  0.854
Ca  0.344  0.044  0.250
Ca  0.362  0.735  0.491
Ca  0.395  0.138  0.606
Ca  0.605  0.862  0.106
Ca  0.638  0.265  0.991
Ca  0.656  0.956  0.750
Ca  0.709  0.238  0.354
Ca  0.735  0.638  0.241
Ca  0.762  0.709  0.604
Ca  0.862  0.395  0.856
Ca  0.956  0.344  0.500
P  0.121  0.188  0.968
P  0.147  0.786  0.120
P  0.188  0.879  0.718
P  0.214  0.147  0.370
P  0.218  0.545  0.223
P  0.243  0.631  0.617
P  0.369  0.243  0.867
P  0.455  0.218  0.473
P  0.545  0.782  0.973
P  0.631  0.757  0.367
P  0.757  0.369  0.117
P  0.782  0.455  0.723
P  0.786  0.853  0.870
P  0.812  0.121  0.218
P  0.853  0.214  0.620
P  0.879  0.812  0.468
O  0.002  0.973  0.742
O  0.027  0.002  0.992
O  0.037  0.277  0.390
O  0.038  0.659  0.449
O  0.049  0.158  0.594
O  0.055  0.522  0.267
O  0.084  0.600  0.572
O  0.088  0.657  0.175
O  0.117  0.762  0.662
O  0.158  0.951  0.344
O  0.236  0.412  0.844
O  0.238  0.117  0.912
O  0.276  0.297  0.005
O  0.276  0.646  0.084
O  0.277  0.963  0.140
O  0.294  0.350  0.199
O  0.297  0.724  0.755
O  0.314  0.384  0.493
O  0.321  0.447  0.647
O  0.341  0.038  0.699
O  0.343  0.088  0.425
O  0.350  0.706  0.949
O  0.354  0.276  0.334
O  0.384  0.686  0.243
O  0.400  0.084  0.822
O  0.412  0.764  0.594
O  0.447  0.679  0.397
O  0.478  0.055  0.517
O  0.522  0.945  0.017
O  0.553  0.321  0.897
O  0.588  0.236  0.094
O  0.600  0.916  0.322
O  0.616  0.314  0.743
O  0.646  0.724  0.834
O  0.650  0.294  0.449
O  0.657  0.912  0.925
O  0.659  0.962  0.199
O  0.679  0.553  0.147
O  0.686  0.616  0.993
O  0.703  0.276  0.255
O  0.706  0.650  0.699
O  0.723  0.037  0.640
O  0.724  0.354  0.584
O  0.724  0.703  0.505
O  0.762  0.883  0.412
O  0.764  0.588  0.344
O  0.842  0.049  0.844
O  0.883  0.238  0.162
O  0.912  0.343  0.675
O  0.916  0.400  0.072
O  0.945  0.478  0.767
O  0.951  0.842  0.094
O  0.962  0.341  0.949
O  0.963  0.723  0.890
O  0.973  0.998  0.492
O  0.998  0.027  0.242

(2)
# Ca5P3O12

A relaxed structure of Ca5P3O12 (PBEsol, Alexandria).

Results
Fermi-level density of states (states/eV per cell): 1.72
Space-group type: P6_3/m (176)
M_tot (μB per formula unit): 0.00
Calculated volume (Å³ per cell): 526
Formation energy from raw total energies (eV per atom): -2.872

Cell lengths 9.479, 9.479, 6.757 Å; angles 90.00, 90.00, 120.00 degrees
Fractional coordinates of all 40 atoms:
Ca  0.002  0.751  0.250
Ca  0.249  0.251  0.250
Ca  0.251  0.002  0.750
Ca  0.333  0.667  0.502
Ca  0.333  0.667  0.998
Ca  0.667  0.333  0.002
Ca  0.667  0.333  0.498
Ca  0.749  0.998  0.250
Ca  0.751  0.749  0.750
Ca  0.998  0.249  0.750
P  0.031  0.403  0.250
P  0.371  0.969  0.250
P  0.403  0.371  0.750
P  0.597  0.629  0.250
P  0.629  0.031  0.750
P  0.969  0.597  0.750
O  0.087  0.346  0.066
O  0.087  0.346  0.434
O  0.126  0.592  0.250
O  0.154  0.665  0.750
O  0.259  0.913  0.066
O  0.259  0.913  0.434
O  0.335  0.489  0.750
O  0.346  0.259  0.566
O  0.346  0.259  0.934
O  0.408  0.534  0.250
O  0.466  0.874  0.250
O  0.489  0.154  0.250
O  0.511  0.846  0.750
O  0.534  0.126  0.750
O  0.592  0.466  0.750
O  0.654  0.741  0.066
O  0.654  0.741  0.434
O  0.665  0.511  0.250
O  0.741  0.087  0.566
O  0.741  0.087  0.934
O  0.846  0.335  0.250
O  0.874  0.408  0.750
O  0.913  0.654  0.566
O  0.913  0.654  0.934

(3)
# Ca2P2O7

A relaxed structure of Ca2P2O7 (PBEsol, Alexandria).

Results
Fermi-level density of states (states/eV per cell): 0.00
Space-group type: P2_1 (4)
M_tot (μB per formula unit): 0.00
Calculated volume (Å³ per cell): 571
Formation energy from raw total energies (eV per atom): -2.796

Cell lengths 5.332, 8.456, 12.667 Å; angles 90.00, 90.54, 90.00 degrees
Fractional coordinates of all 44 atoms:
Ca  0.006  0.000  0.014
Ca  0.010  0.075  0.340
Ca  0.490  0.297  0.160
Ca  0.494  0.372  0.486
Ca  0.506  0.872  0.514
Ca  0.510  0.797  0.840
Ca  0.990  0.575  0.660
Ca  0.994  0.500  0.986
P  0.025  0.176  0.568
P  0.027  0.423  0.276
P  0.472  0.950  0.224
P  0.475  0.197  0.932
P  0.525  0.697  0.068
P  0.528  0.450  0.776
P  0.973  0.923  0.724
P  0.975  0.676  0.432
O  0.021  0.603  0.316
O  0.094  0.431  0.160
O  0.106  0.345  0.586
O  0.220  0.657  0.495
O  0.224  0.844  0.700
O  0.237  0.086  0.514
O  0.239  0.332  0.335
O  0.260  0.041  0.165
O  0.263  0.286  0.986
O  0.277  0.530  0.800
O  0.280  0.716  0.005
O  0.394  0.027  0.914
O  0.406  0.941  0.340
O  0.479  0.770  0.184
O  0.521  0.270  0.816
O  0.594  0.441  0.660
O  0.606  0.527  0.086
O  0.720  0.216  0.995
O  0.723  0.030  0.200
O  0.737  0.786  0.014
O  0.740  0.541  0.835
O  0.761  0.832  0.665
O  0.763  0.586  0.486
O  0.776  0.344  0.300
O  0.780  0.157  0.505
O  0.894  0.845  0.414
O  0.906  0.931  0.840
O  0.979  0.103  0.684

(4)
# Ca5P3O13

A relaxed structure of Ca5P3O13 (PBEsol, Alexandria).

Results
Fermi-level density of states (states/eV per cell): 4.00
Space-group type: P6_3/m (176)
M_tot (μB per formula unit): 1.10
Calculated volume (Å³ per cell): 523
Formation energy from raw total energies (eV per atom): -2.839

Cell lengths 9.397, 9.397, 6.846 Å; angles 90.00, 90.00, 120.00 degrees
Fractional coordinates of all 42 atoms:
Ca  0.004  0.754  0.250
Ca  0.246  0.250  0.250
Ca  0.250  0.004  0.750
Ca  0.333  0.667  0.001
Ca  0.333  0.667  0.499
Ca  0.667  0.333  0.501
Ca  0.667  0.333  0.999
Ca  0.750  0.996  0.250
Ca  0.754  0.750  0.750
Ca  0.996  0.246  0.750
P  0.031  0.631  0.750
P  0.369  0.399  0.750
P  0.399  0.031  0.250
P  0.601  0.969  0.750
P  0.631  0.601  0.250
P  0.969  0.369  0.250
O  0.000  0.000  0.250
O  0.000  0.000  0.750
O  0.087  0.744  0.568
O  0.087  0.744  0.932
O  0.125  0.534  0.750
O  0.157  0.486  0.250
O  0.256  0.343  0.568
O  0.256  0.343  0.932
O  0.330  0.843  0.250
O  0.343  0.087  0.068
O  0.343  0.087  0.432
O  0.409  0.875  0.750
O  0.466  0.591  0.750
O  0.486  0.330  0.750
O  0.514  0.670  0.250
O  0.534  0.409  0.250
O  0.591  0.125  0.250
O  0.657  0.913  0.568
O  0.657  0.913  0.932
O  0.670  0.157  0.750
O  0.744  0.657  0.068
O  0.744  0.657  0.432
O  0.843  0.514  0.750
O  0.875  0.466  0.250
O  0.913  0.256  0.068
O  0.913  0.256  0.432

(5)
# CaP2PdO

A relaxed structure of CaP2PdO (PBEsol, Alexandria).

Results
Fermi-level density of states (states/eV per cell): 5.57
Space-group type: P4/mmm (123)
M_tot (μB per formula unit): 0.49
Calculated volume (Å³ per cell): 103
Formation energy from raw total energies (eV per atom): 0.841

Cell lengths 5.098, 5.098, 3.963 Å; angles 90.00, 90.00, 90.00 degrees
Fractional coordinates of all 5 atoms:
Ca  0.000  0.000  0.000
P  0.000  0.500  0.000
P  0.500  0.000  0.000
Pd  0.500  0.500  0.500
O  0.000  0.000  0.500

(6)
# CaP2PtO

A relaxed structure of CaP2PtO (PBEsol, Alexandria).

Results
Fermi-level density of states (states/eV per cell): 5.06
Space-group type: P4/mmm (123)
M_tot (μB per formula unit): 0.63
Calculated volume (Å³ per cell): 98
Formation energy from raw total energies (eV per atom): 0.987

Cell lengths 5.047, 5.047, 3.860 Å; angles 90.00, 90.00, 90.00 degrees
Fractional coordinates of all 5 atoms:
Ca  0.000  0.000  0.000
P  0.000  0.500  0.000
P  0.500  0.000  0.000
Pt  0.500  0.500  0.500
O  0.000  0.000  0.500

Which of these has the highest M_tot?
Ca5P3O13

What is the calculated volume in the second record?
526 Å³ per cell